1.
The following is a PBE-GGA calculation of a relaxed structure of La8Ru3RhI4, from the Alexandria database.

Calculated values
Calculated volume, Å³/atom: 31.898
DFT total energy, eV per cell: -188.85

abc: 14.6230 8.4466 9.5906
angles: 90.00 120.49 90.00
Space group C2/m (No. 12)
Unique sites:
La  0.0234  0.2458  0.3157
La  0.2287  0.0000  0.6863
La  0.2309  0.5000  0.6842
Ru  0.0000  0.0000  0.5000
Ru  0.2500  0.2500  0.5000
Rh  0.0000  0.5000  0.5000
I  0.0000  0.0000  0.0000
I  0.0000  0.5000  0.0000
I  0.2500  0.2500  0.0000

2.
The following is a PBE-GGA calculation of a relaxed structure of La8RuRh3I3, from the Alexandria database.

Calculated values
Calculated volume, Å³/atom: 34.175
DFT total energy, eV per cell: -176.97

abc: 14.5901 8.4128 9.6675
angles: 90.00 120.23 90.00
Space group C2/m (No. 12)
Unique sites:
La  0.0199  0.2449  0.3163
La  0.2247  0.0000  0.6837
La  0.2282  0.5000  0.6831
Ru  0.0000  0.0000  0.5000
Rh  0.0000  0.5000  0.5000
Rh  0.2500  0.2500  0.5000
I  0.0000  0.0000  0.0000
I  0.2500  0.2500  0.0000